A geometry-optimized Y3Ag4 structure, computed with PBE.

Cell: 8.8282 8.8282 8.8282 Å, 33.15 33.15 33.15°
Sites, in units of the cell vectors:
Y: 0.0000 0.0000 0.0000
Y: 0.2437 0.2437 0.2437
Y: 0.7563 0.7563 0.7563
Ag: 0.1224 0.1224 0.1224
Ag: 0.3689 0.3689 0.3689
Ag: 0.6311 0.6311 0.6311
Ag: 0.8776 0.8776 0.8776

Results
The density is 6.3 g/cm3. As for the distance to the lowest polymorph of the same formula: 1.062 eV/f.u. As for the formation energy: -0.106 eV/atom. As for the crystal system: trigonal. The space-group type is No. 166. The size of the total moment comes out at 0.00 μB per atom. Its raw total energy is -0.3312 Ry/atom.